1.
Below is a relaxed structure of In2RhF, with properties calculated at the PBE-GGA level.

- D(E_F): 6.09 states/eV per cell
- Energy: -4.328 eV/atom

Cell: 6.5274 6.5274 6.5274 Å, 90.00 90.00 90.00°
Element x y z (fractional)
In1 0.2500 0.2500 0.2500
In2 0.2500 0.2500 0.7500
In3 0.2500 0.7500 0.2500
In4 0.2500 0.7500 0.7500
In5 0.7500 0.2500 0.2500
In6 0.7500 0.2500 0.7500
In7 0.7500 0.7500 0.2500
In8 0.7500 0.7500 0.7500
Rh1 0.0000 0.0000 0.0000
Rh2 0.0000 0.5000 0.5000
Rh3 0.5000 0.0000 0.5000
Rh4 0.5000 0.5000 0.0000
F1 0.0000 0.0000 0.5000
F2 0.0000 0.5000 0.0000
F3 0.5000 0.0000 0.0000
F4 0.5000 0.5000 0.5000



2.
Below is a relaxed structure of InRh3F, with properties calculated at the PBE-GGA level.

- D(E_F): 5.00 states/eV per cell
- Energy: -4.963 eV/atom

Cell: 4.3105 4.3105 4.3105 Å, 90.00 90.00 90.00°
Element x y z (fractional)
In1 0.0000 0.0000 0.0000
Rh1 0.0000 0.5000 0.5000
Rh2 0.5000 0.0000 0.5000
Rh3 0.5000 0.5000 0.0000
F1 0.5000 0.5000 0.5000



3.
Below is a relaxed structure of In2RhF, with properties calculated at the PBE-GGA level.

- D(E_F): 1.74 states/eV per cell
- Energy: -4.398 eV/atom

Cell: 6.6826 6.6826 6.7091 Å, 90.00 90.00 90.00°
Element x y z (fractional)
In1 0.2203 0.2500 0.1250
In2 0.2500 0.7203 0.3750
In3 0.2500 0.7797 0.8750
In4 0.2797 0.2500 0.6250
In5 0.7203 0.7500 0.6250
In6 0.7500 0.2203 0.8750
In7 0.7500 0.2797 0.3750
In8 0.7797 0.7500 0.1250
Rh1 0.0000 0.0000 0.5000
Rh2 0.0000 0.5000 0.7500
Rh3 0.5000 0.0000 0.2500
Rh4 0.5000 0.5000 0.0000
F1 0.0000 0.0000 0.0000
F2 0.0000 0.5000 0.2500
F3 0.5000 0.0000 0.7500
F4 0.5000 0.5000 0.5000



4.
Below is a relaxed structure of InRhF2, with properties calculated at the PBE-GGA level.

- D(E_F): 6.01 states/eV per cell
- Energy: -4.321 eV/atom

Cell: 6.9769 6.9769 5.3434 Å, 90.00 90.00 90.00°
Element x y z (fractional)
In1 0.0000 0.0000 0.0000
In2 0.0000 0.5000 0.2500
In3 0.5000 0.0000 0.7500
In4 0.5000 0.5000 0.5000
Rh1 0.0000 0.0000 0.5000
Rh2 0.0000 0.5000 0.7500
Rh3 0.5000 0.0000 0.2500
Rh4 0.5000 0.5000 0.0000
F1 0.1697 0.2500 0.6250
F2 0.2500 0.6697 0.8750
F3 0.2500 0.8303 0.3750
F4 0.3303 0.2500 0.1250
F5 0.6697 0.7500 0.1250
F6 0.7500 0.1697 0.3750
F7 0.7500 0.3303 0.8750
F8 0.8303 0.7500 0.6250



5.
Below is a relaxed structure of InRh3F, with properties calculated at the PBE-GGA level.

- D(E_F): 11.77 states/eV per cell
- Energy: -3.973 eV/atom

Cell: 5.0034 5.0034 5.0034 Å, 90.00 90.00 90.00°
Element x y z (fractional)
In1 0.0000 0.0000 0.0000
Rh1 0.0000 0.0000 0.5000
Rh2 0.0000 0.5000 0.0000
Rh3 0.5000 0.0000 0.0000
F1 0.5000 0.5000 0.5000



6.
Below is a relaxed structure of Ta2InRhF, with properties calculated at the PBE-GGA level.

- D(E_F): 6.43 states/eV per cell
- Energy: -5.197 eV/atom

Cell: 5.1491 5.1491 4.8049 Å, 90.00 90.00 90.00°
Element x y z (fractional)
Ta1 0.0000 0.5000 0.0000
Ta2 0.5000 0.0000 0.0000
In1 0.0000 0.0000 0.0000
Rh1 0.0000 0.0000 0.5000
F1 0.5000 0.5000 0.5000



7.
Below is a relaxed structure of Y2InRhF, with properties calculated at the PBE-GGA level.

- D(E_F): 2.61 states/eV per cell
- Energy: -5.634 eV/atom

Cell: 5.4456 5.4456 4.0978 Å, 90.00 90.00 90.00°
Element x y z (fractional)
Y1 0.0000 0.5000 0.0000
Y2 0.5000 0.0000 0.0000
In1 0.0000 0.0000 0.5000
Rh1 0.5000 0.5000 0.0000
F1 0.5000 0.5000 0.5000



8.
Below is a relaxed structure of ZrInRhF2, with properties calculated at the PBE-GGA level.

- D(E_F): 5.51 states/eV per cell
- Energy: -5.782 eV/atom

Cell: 4.0517 4.0517 6.1721 Å, 90.00 90.00 90.00°
Element x y z (fractional)
Zr1 0.0000 0.0000 0.0000
In1 0.0000 0.0000 0.5000
Rh1 0.5000 0.5000 0.5000
F1 0.0000 0.5000 0.0000
F2 0.5000 0.0000 0.0000